[1]
First-principles (PBE) data for a geometry-optimized Cs2CdTeH structure, as listed in the Alexandria database.

a b c (Å): 6.321 6.321 4.516
angles (deg): 90.00 90.00 90.00
Element x y z (fractional)
Cs 0.000 0.500 0.000
Cs 0.500 0.000 0.000
H 0.000 0.000 0.000
Te 0.500 0.500 0.500
Cd 0.000 0.000 0.500

Calculated density, g/cm3: 4.7
Symmetry: P4/mmm, No. 123
D(E_F), states/eV/cell: 1.0

[2]
First-principles (PBE) data for a geometry-optimized Cs2TlCd2H6 structure, as listed in the Alexandria database.

a b c (Å): 6.368 6.572 7.951
angles (deg): 117.26 90.00 118.98
Element x y z (fractional)
Cs 0.713 0.425 0.191
Cs 0.287 0.575 0.809
Tl 0.500 0.000 0.500
Cd 0.950 0.901 0.786
Cd 0.050 0.099 0.214
H 0.763 0.526 0.652
H 0.217 0.942 0.224
H 0.275 0.058 0.776
H 0.783 0.058 0.776
H 0.725 0.942 0.224
H 0.237 0.474 0.348

Calculated density, g/cm3: 4.7
Symmetry: C2/m, No. 12
D(E_F), states/eV/cell: 3.2

[3]
First-principles (PBE) data for a geometry-optimized Cs2ZnCdH6 structure, as listed in the Alexandria database.

a b c (Å): 6.084 6.084 6.162
angles (deg): 60.43 60.43 90.02
Element x y z (fractional)
Cs 0.750 0.250 0.500
Cs 0.250 0.750 0.500
Zn 0.000 0.000 0.000
Cd 0.500 0.500 0.000
H 0.185 0.185 0.631
H 0.732 0.732 0.000
H 0.268 0.732 0.000
H 0.732 0.268 0.000
H 0.268 0.268 0.000
H 0.816 0.816 0.369

Calculated density, g/cm3: 4.6
Symmetry: I4/mmm, No. 139

Calculated values (eV/atom) of total energy for the records, taken in order: -2.17 -2.34 -2.42.
Calculated values (μB/atom) of size of the total moment for the records, taken in order: 0.00 0.00 0.00.